This record from Alexandria via LeMat-Bulk describes Y6Co2Ge after structural relaxation. The functional is PBE-GGA.

It has space group Immm (No. 71), with a = 9.3618 Å, b = 9.5721 Å, c = 9.8197 Å, α = 90.00°, β = 90.00° and γ = 90.00°. The distinct sites, in fractional coordinates, are Y at (0.0000, 0.1969, 0.2383), Y at (0.1866, 0.5000, 0.1729), Y at (0.2216, 0.3205, 0.5000), Co at (0.0000, 0.3399, 0.0000), Co at (0.0000, 0.5000, 0.3866), Ge at (0.0000, 0.0000, 0.0000) and Ge at (0.0000, 0.0000, 0.5000).

The formation enthalpy at 0 K comes out at -31.9 kJ per mole of atoms. The volume is 24.44 A^3/atom.

---

This record from Alexandria via LeMat-Bulk describes La2CdCo after structural relaxation. The functional is PBE-GGA.

It has space group R3m (No. 160, hexagonal axes), with a = 3.8146 Å, b = 3.8146 Å, c = 26.5897 Å, α = 90.00°, β = 90.00° and γ = 120.00°. The distinct sites, in fractional coordinates, are La at (0.0000, 0.0000, 0.0000), La at (0.0000, 0.0000, 0.2063), Cd at (0.0000, 0.0000, 0.7631) and Co at (0.0000, 0.0000, 0.4839).

The formation enthalpy at 0 K comes out at 9.8 kJ per mole of atoms. The volume is 27.92 A^3/atom.

---

This record from Alexandria via LeMat-Bulk describes CuNiSe2 after structural relaxation. The functional is PBE-GGA.

It has space group P2/m (No. 10), with a = 5.1568 Å, b = 3.2898 Å, c = 5.4245 Å, α = 90.00°, β = 94.12° and γ = 90.00°. The distinct sites, in fractional coordinates, are Cu at (0.0000, 0.0000, 0.0000), Ni at (0.5000, 0.0000, 0.0000) and Se at (0.2931, 0.5000, 0.2226).

The calculation puts the total DFT energy (no corrections) at -17.20 eV per cell. The volume is 22.95 A^3/atom.